[1]
! PBE HfTa2Ni2, optimized geometry; values from VASP
&SYSTEM
  ibrav = 0, nat = 5, ntyp = 3
/
ATOMIC_SPECIES
Ta 180.95 Ta.upf
Ni 58.69 Ni.upf
Hf 178.49 Hf.upf
CELL_PARAMETERS angstrom
-1.4123 2.5868 -2.5687
2.2207 -1.5742 -2.8062
-3.5942 -2.9136 -3.9331
ATOMIC_POSITIONS crystal
Ta 0.2500 0.7500 0.5000
Ta 0.7500 0.2500 0.5000
Ni 0.6006 0.6006 0.7988
Ni 0.3994 0.3994 0.2012
Hf 0.0000 0.0000 0.0000
! ΔE_f: -0.01 eV per atom
! Symmetry: No. 139

[2]
! PBE Hg2Rh2S, optimized geometry; values from VASP
&SYSTEM
  ibrav = 0, nat = 5, ntyp = 3
/
ATOMIC_SPECIES
Rh 102.91 Rh.upf
Hg 200.59 Hg.upf
S 32.06 S.upf
CELL_PARAMETERS angstrom
-2.7763 1.9390 -1.2939
-1.6330 -3.0537 -1.0724
-5.6805 -1.0555 5.5281
ATOMIC_POSITIONS crystal
Rh 0.7500 0.2500 0.5000
Rh 0.2500 0.7500 0.5000
Hg 0.6002 0.6002 0.7996
Hg 0.3998 0.3998 0.2004
S 0.0000 0.0000 0.0000
! Uncorrected formation energy: 0.504 eV per atom
! Symmetry: No. 139

[3]
! PBE AcCeAs2, optimized geometry; values from VASP
&SYSTEM
  ibrav = 0, nat = 4, ntyp = 3
/
ATOMIC_SPECIES
Ac 227.00 Ac.upf
Ce 140.12 Ce.upf
As 74.92 As.upf
CELL_PARAMETERS angstrom
5.3075 0.0000 0.0000
2.6537 4.5964 0.0000
2.6537 1.5321 4.3335
ATOMIC_POSITIONS crystal
Ac 0.5000 0.5000 0.5000
Ce 0.0000 0.0000 0.0000
As 0.7500 0.7500 0.7500
As 0.2500 0.2500 0.2500
! ΔE_f: -1.09 eV per atom
! Symmetry: No. 225